No. 1
{
  "formula": "KHfIn",
  "functional": "PBE",
  "state": "optimized geometry",
  "formation_energy_mev_per_atom": 287,
  "m_tot_mub_per_fu": 0.0,
  "polymorph_energy_mev_per_atom": 277,
  "energy_ev_per_atom": -4.309,
  "lattice": [[4.889, 0.000, 0.000], [-2.445, 4.234, 0.000], [0.000, 0.000, 11.119]],
  "species": ["K", "K", "Hf", "Hf", "In", "In"],
  "fractional_positions": [[0.000, 0.000, 0.000], [0.333, 0.667, 0.322], [0.333, 0.667, 0.695], [0.667, 0.333, 0.555], [0.000, 0.000, 0.568], [0.667, 0.333, 0.810]]
}


No. 2
{
  "formula": "TaTlSb",
  "functional": "PBE",
  "state": "optimized geometry",
  "m_tot_mub_per_fu": 0.0,
  "polymorph_energy_mev_per_atom": 19,
  "formation_energy_uncorrected_ev_per_atom": 0.3602,
  "energy_ev_per_atom": -5.754,
  "lattice": [[0.000, 2.433, 8.530], [1.861, 0.000, 8.530], [1.861, 2.433, 0.000]],
  "species": ["Ta", "Tl", "Sb"],
  "fractional_positions": [[0.000, 0.000, 0.000], [0.651, 0.651, 0.349], [0.372, 0.372, 0.628]]
}


No. 3
{
  "formula": "K2TlNiBr6",
  "functional": "PBE",
  "state": "optimized geometry",
  "m_tot_mub_per_fu": 1.0,
  "formation_energy_uncorrected_ev_per_atom": -0.9585,
  "energy_ev_per_atom": -2.996,
  "lattice": [[7.567, 0.000, 0.000], [0.000, 7.807, 0.000], [-7.443, 0.000, 10.864]],
  "species": ["K", "K", "K", "K", "Tl", "Tl", "Ni", "Ni", "Br", "Br", "Br", "Br", "Br", "Br", "Br", "Br", "Br", "Br", "Br", "Br"],
  "fractional_positions": [[0.228, 0.066, 0.247], [0.228, 0.434, 0.747], [0.772, 0.566, 0.253], [0.772, 0.934, 0.753], [0.500, 0.000, 0.000], [0.500, 0.500, 0.500], [0.000, 0.000, 0.500], [0.000, 0.500, 0.000], [0.142, 0.231, 0.963], [0.142, 0.269, 0.463], [0.229, 0.679, 0.960], [0.229, 0.821, 0.460], [0.299, 0.009, 0.725], [0.299, 0.491, 0.225], [0.701, 0.509, 0.775], [0.701, 0.991, 0.275], [0.771, 0.179, 0.540], [0.771, 0.321, 0.040], [0.858, 0.731, 0.537], [0.858, 0.769, 0.037]]
}


No. 4
{
  "formula": "Ac2ScZnPd6",
  "functional": "PBE",
  "state": "optimized geometry",
  "formation_energy_mev_per_atom": -588,
  "m_tot_mub_per_fu": 0.0,
  "energy_ev_per_atom": -5.286,
  "lattice": [[5.086, -2.935, 0.000], [5.086, 2.935, 0.000], [-3.383, 0.000, 7.946]],
  "species": ["Ac", "Ac", "Sc", "Zn", "Pd", "Pd", "Pd", "Pd", "Pd", "Pd"],
  "fractional_positions": [[0.218, 0.218, 0.156], [0.782, 0.782, 0.844], [0.000, 0.000, 0.500], [0.500, 0.500, 0.000], [0.245, 0.746, 0.240], [0.254, 0.254, 0.760], [0.254, 0.755, 0.760], [0.746, 0.245, 0.240], [0.746, 0.746, 0.240], [0.755, 0.254, 0.760]]
}